Here is a relaxed structure of BaCaNbWO6 from Alexandria via LeMat-Bulk. Energies are from GGA+U.

Computed properties:
**E**: -76.3 eV/cell
**SG**: F-43m, No. 216

Unit cell a=5.8498 b=5.8498 c=5.8498 alpha=60.00 beta=60.00 gamma=60.00
Closest atoms and distances in Å follow each position.
Atoms (fractional coordinates):
Ba1 0.2500 0.2500 0.2500  12 O 2.93
Ca1 0.7500 0.7500 0.7500  12 O 2.93
Nb1 0.0000 0.0000 0.0000  6 O 2.01
W1 0.5000 0.5000 0.5000  6 O 2.13
O1 0.2429 0.7571 0.2429  1 Nb 2.01, 1 W 2.13
O2 0.7571 0.2429 0.7571  1 Nb 2.01, 1 W 2.13
O3 0.2429 0.7571 0.7571  1 Nb 2.01, 1 W 2.13
O4 0.7571 0.2429 0.2429  1 Nb 2.01, 1 W 2.13
O5 0.2429 0.2429 0.7571  1 Nb 2.01, 1 W 2.13
O6 0.7571 0.7571 0.2429  1 Nb 2.01, 1 W 2.13